Record 1
La3ZrB: optimized geometry, PBE.

## Properties
Uncorrected energy ... -4.7240 eV per atom
Magnetic moment ... 0.00 μB/atom
E_form ... 1.28 eV/atom
Crystal system ... cubic
Space group ... Pm-3m, No. 221
Calculated volume ... 172.2 Å³/f.u.
Offset from the most stable computed form ... 87.4 kJ/mol of atoms

a = 5.563 Å, b = 5.563 Å, c = 5.563 Å
α = 90.00°, β = 90.00°, γ = 90.00°
Sites, in units of the cell vectors:
La: 0.000 0.000 0.500
La: 0.000 0.500 0.000
La: 0.500 0.000 0.000
Zr: 0.000 0.000 0.000
B: 0.500 0.500 0.500

Record 2
La3ZrB: optimized geometry, PBE.

## Properties
Uncorrected energy ... -5.6298 eV per atom
Magnetic moment ... 0.00 μB/atom
E_form ... 0.37 eV/atom
Crystal system ... cubic
Space group ... Pm-3m, No. 221
Calculated volume ... 150.7 Å³/f.u.
Offset from the most stable computed form ... 0.0 kJ/mol of atoms

a = 5.321 Å, b = 5.321 Å, c = 5.321 Å
α = 90.00°, β = 90.00°, γ = 90.00°
Sites, in units of the cell vectors:
La: 0.000 0.000 0.500
La: 0.000 0.500 0.000
La: 0.500 0.000 0.000
Zr: 0.500 0.500 0.500
B: 0.000 0.000 0.000

Record 3
LaZrB2: optimized geometry, PBE.

## Properties
Uncorrected energy ... -6.2782 eV per atom
Magnetic moment ... 0.00 μB/atom
E_form ... 0.43 eV/atom
Crystal system ... cubic
Space group ... Fm-3m, No. 225
Calculated volume ... 66.9 Å³/f.u.
Offset from the most stable computed form ... 0.0 kJ/mol of atoms

a = 6.443 Å, b = 6.443 Å, c = 6.443 Å
α = 90.00°, β = 90.00°, γ = 90.00°
Sites, in units of the cell vectors:
La: 0.000 0.000 0.000
La: 0.000 0.500 0.500
La: 0.500 0.000 0.500
La: 0.500 0.500 0.000
Zr: 0.000 0.000 0.500
Zr: 0.000 0.500 0.000
Zr: 0.500 0.000 0.000
Zr: 0.500 0.500 0.500
B: 0.250 0.250 0.250
B: 0.250 0.250 0.750
B: 0.250 0.750 0.250
B: 0.250 0.750 0.750
B: 0.750 0.250 0.250
B: 0.750 0.250 0.750
B: 0.750 0.750 0.250
B: 0.750 0.750 0.750

Record 4
LaZrB2: optimized geometry, PBE.

## Properties
Uncorrected energy ... -6.0931 eV per atom
Magnetic moment ... 0.00 μB/atom
E_form ... 0.61 eV/atom
Crystal system ... tetragonal
Space group ... I-42d, No. 122
Calculated volume ... 90.1 Å³/f.u.
Offset from the most stable computed form ... 17.9 kJ/mol of atoms

a = 5.255 Å, b = 5.255 Å, c = 13.052 Å
α = 90.00°, β = 90.00°, γ = 90.00°
Sites, in units of the cell vectors:
La: 0.000 0.000 0.000
La: 0.000 0.500 0.250
La: 0.500 0.000 0.750
La: 0.500 0.500 0.500
Zr: 0.000 0.000 0.500
Zr: 0.000 0.500 0.750
Zr: 0.500 0.000 0.250
Zr: 0.500 0.500 0.000
B: 0.181 0.250 0.625
B: 0.250 0.681 0.875
B: 0.250 0.819 0.375
B: 0.319 0.250 0.125
B: 0.681 0.750 0.125
B: 0.750 0.181 0.375
B: 0.750 0.319 0.875
B: 0.819 0.750 0.625

Record 5
LiB12: optimized geometry, PBE.

## Properties
Uncorrected energy ... -5.5427 eV per atom
Magnetic moment ... 0.00 μB/atom
E_form ... 0.77 eV/atom
Crystal system ... cubic
Space group ... Pm-3m, No. 221
Calculated volume ... 121.9 Å³/f.u.

a = 4.958 Å, b = 4.958 Å, c = 4.958 Å
α = 90.00°, β = 90.00°, γ = 90.00°
Sites, in units of the cell vectors:
Li: 0.000 0.000 0.000
B: 0.000 0.252 0.500
B: 0.000 0.500 0.252
B: 0.000 0.500 0.748
B: 0.000 0.748 0.500
B: 0.252 0.000 0.500
B: 0.252 0.500 0.000
B: 0.500 0.000 0.252
B: 0.500 0.000 0.748
B: 0.500 0.252 0.000
B: 0.500 0.748 0.000
B: 0.748 0.000 0.500
B: 0.748 0.500 0.000

Record 6
LiB: optimized geometry, PBE.

## Properties
Uncorrected energy ... -4.2995 eV per atom
Magnetic moment ... 0.00 μB/atom
E_form ... 0.00 eV/atom
Crystal system ... tetragonal
Space group ... P4/mmm, No. 123
Calculated volume ... 25.2 Å³/f.u.
Offset from the most stable computed form ... 15.1 kJ/mol of atoms

a = 8.125 Å, b = 8.125 Å, c = 3.056 Å
α = 90.00°, β = 90.00°, γ = 90.00°
Sites, in units of the cell vectors:
Li: 0.000 0.299 0.000
Li: 0.000 0.701 0.000
Li: 0.299 0.000 0.000
Li: 0.330 0.330 0.500
Li: 0.330 0.670 0.500
Li: 0.670 0.330 0.500
Li: 0.670 0.670 0.500
Li: 0.701 0.000 0.000
B: 0.116 0.500 0.500
B: 0.189 0.500 0.000
B: 0.500 0.116 0.500
B: 0.500 0.189 0.000
B: 0.500 0.811 0.000
B: 0.500 0.884 0.500
B: 0.811 0.500 0.000
B: 0.884 0.500 0.500

Record 7
LiB5: optimized geometry, PBE.

## Properties
Uncorrected energy ... -4.8855 eV per atom
Magnetic moment ... 0.00 μB/atom
E_form ... 1.00 eV/atom
Crystal system ... orthorhombic
Space group ... Cmmm, No. 65
Calculated volume ... 38.7 Å³/f.u.

a = 2.881 Å, b = 8.646 Å, c = 3.103 Å
α = 90.00°, β = 90.00°, γ = 90.00°
Sites, in units of the cell vectors:
Li: 0.000 0.000 0.000
Li: 0.500 0.500 0.000
B: 0.000 0.165 0.500
B: 0.000 0.311 0.000
B: 0.000 0.500 0.500
B: 0.000 0.689 0.000
B: 0.000 0.835 0.500
B: 0.500 0.000 0.500
B: 0.500 0.189 0.000
B: 0.500 0.335 0.500
B: 0.500 0.665 0.500
B: 0.500 0.811 0.000

Record 8
LiB6: optimized geometry, PBE.

## Properties
Uncorrected energy ... -5.4248 eV per atom
Magnetic moment ... 0.00 μB/atom
E_form ... 0.57 eV/atom
Crystal system ... cubic
Space group ... Im-3m, No. 229
Calculated volume ... 61.2 Å³/f.u.
Offset from the most stable computed form ... 53.5 kJ/mol of atoms

a = 4.965 Å, b = 4.965 Å, c = 4.965 Å
α = 90.00°, β = 90.00°, γ = 90.00°
Sites, in units of the cell vectors:
Li: 0.000 0.000 0.000
Li: 0.500 0.500 0.500
B: 0.000 0.250 0.500
B: 0.000 0.500 0.250
B: 0.000 0.500 0.750
B: 0.000 0.750 0.500
B: 0.250 0.000 0.500
B: 0.250 0.500 0.000
B: 0.500 0.000 0.250
B: 0.500 0.000 0.750
B: 0.500 0.250 0.000
B: 0.500 0.750 0.000
B: 0.750 0.000 0.500
B: 0.750 0.500 0.000

Which of these has the highest E_form? number 1

Please write out number 8 again, unchanged.
LiB6: optimized geometry, PBE.

## Properties
Uncorrected energy ... -5.4248 eV per atom
Magnetic moment ... 0.00 μB/atom
E_form ... 0.57 eV/atom
Crystal system ... cubic
Space group ... Im-3m, No. 229
Calculated volume ... 61.2 Å³/f.u.
Offset from the most stable computed form ... 53.5 kJ/mol of atoms

a = 4.965 Å, b = 4.965 Å, c = 4.965 Å
α = 90.00°, β = 90.00°, γ = 90.00°
Sites, in units of the cell vectors:
Li: 0.000 0.000 0.000
Li: 0.500 0.500 0.500
B: 0.000 0.250 0.500
B: 0.000 0.500 0.250
B: 0.000 0.500 0.750
B: 0.000 0.750 0.500
B: 0.250 0.000 0.500
B: 0.250 0.500 0.000
B: 0.500 0.000 0.250
B: 0.500 0.000 0.750
B: 0.500 0.250 0.000
B: 0.500 0.750 0.000
B: 0.750 0.000 0.500
B: 0.750 0.500 0.000

The highest calculated volume belongs to which entry? number 1

Which value of magnetic moment does entry 5 give? 0.00 μB/atom